{
  "formula": "LiCrCu2",
  "functional": "PBE",
  "state": "relaxed",
  "lattice": [[-0.7239, 4.0722, 2.0537], [-2.5441, -0.5327, 3.8169], [3.8121, -2.1253, -1.5085]],
  "species": ["Cr", "Cu", "Cu", "Li"],
  "fractional_positions": [[0.2501, 0.7501, 0.5000], [0.0006, 0.0006, 0.0000], [0.7501, 0.2501, 0.5000], [0.4993, 0.4993, 0.0000]],
  "total_energy_ev_per_atom": -4.694,
  "formation_enthalpy_0k_mev_per_atom": 238,
  "spacegroup": "Imm2",
  "density_g_cm3": 5.89
}

***

{
  "formula": "Cu2HgBr6",
  "functional": "PBE",
  "state": "relaxed",
  "lattice": [[-2.3718, 4.9676, 3.1760], [-4.1446, -2.6346, 9.6267], [7.5934, 6.3824, 4.2890]],
  "species": ["Cu", "Cu", "Cu", "Cu", "Hg", "Hg", "Br", "Br", "Br", "Br", "Br", "Br", "Br", "Br", "Br", "Br", "Br", "Br"],
  "fractional_positions": [[0.2032, 0.6276, 0.7924], [0.2968, 0.2076, 0.3724], [0.7968, 0.3724, 0.2076], [0.7032, 0.7924, 0.6276], [0.2500, 0.2105, 0.7895], [0.7500, 0.7895, 0.2105], [0.4390, 0.7012, 0.5999], [0.0610, 0.4001, 0.2988], [0.5610, 0.2988, 0.4001], [0.9390, 0.5999, 0.7012], [0.8588, 0.8543, 0.4106], [0.6412, 0.5894, 0.1457], [0.1412, 0.1457, 0.5894], [0.3588, 0.4106, 0.8543], [0.1674, 0.7733, 0.9822], [0.3326, 0.0178, 0.2267], [0.8326, 0.2267, 0.0178], [0.6674, 0.9822, 0.7733]],
  "total_energy_ev_per_atom": -2.352,
  "spacegroup": "C2/c",
  "density_g_cm3": 4.44,
  "e_form_raw_mev_per_atom": -293
}

***

{
  "formula": "YSc2",
  "functional": "PBE",
  "state": "relaxed",
  "lattice": [[5.3343, 0.0000, 0.0000], [0.0000, 5.3343, 0.0000], [0.0000, 0.0000, 3.4397]],
  "species": ["Sc", "Sc", "Y"],
  "fractional_positions": [[0.0000, 0.5000, 0.5000], [0.5000, 0.0000, 0.5000], [0.0000, 0.0000, 0.0000]],
  "total_energy_ev_per_atom": -5.685,
  "formation_enthalpy_0k_mev_per_atom": 691,
  "spacegroup": "P4/mmm",
  "density_g_cm3": 3.03
}

***

{
  "formula": "InSb2Rh",
  "functional": "PBE",
  "state": "relaxed",
  "lattice": [[2.6306, -4.7200, 0.0000], [2.6306, 4.7200, 0.0000], [0.0000, 0.0000, 4.1917]],
  "species": ["In", "Sb", "Sb", "Rh"],
  "fractional_positions": [[0.5000, 0.5000, 0.5000], [0.8268, 0.1732, 0.0000], [0.1732, 0.8268, 0.0000], [0.0000, 0.0000, 0.5000]],
  "total_energy_ev_per_atom": -4.813,
  "spacegroup": "Cmmm",
  "density_g_cm3": 7.36,
  "e_form_raw_mev_per_atom": -230
}